(1)
An optimized crystal structure of Ca2ScCu, computed with PBE-GGA.

The structure in extended XYZ format:
```
4
Lattice="0.000 3.776 3.776 3.776 0.000 3.776 3.776 3.776 0.000" Properties=species:S:1:pos:R:3 pbc="T T T"
Sc 0.000 0.000 0.000
Ca 1.888 1.888 1.888
Ca 5.664 5.664 5.664
Cu 3.776 3.776 3.776
```

**Calculated formation energy**: 0.321 eV per atom
**Space-group type**: Fm-3m (225)
**DFT total energy**: -13.1 eV for the cell shown
**Energy above the lowest structure with this stoichiometry**: 0.3421 eV per atom
**D(E_F)**: 3.91 states/eV/cell

(2)
An optimized crystal structure of CaScCu, computed with PBE-GGA.

The structure in extended XYZ format:
```
3
Lattice="-1.980 3.851 -1.409 -2.510 -3.741 0.661 -0.643 1.142 4.023" Properties=species:S:1:pos:R:3 pbc="T T T"
Sc -2.658 -0.634 2.002
Ca -0.002 0.004 0.015
Cu -2.473 1.881 1.258
```

**Calculated formation energy**: 0.137 eV per atom
**Space-group type**: P3m1 (156)
**DFT total energy**: -12.0 eV for the cell shown
**Energy above the lowest structure with this stoichiometry**: 0.1896 eV per atom
**D(E_F)**: 2.77 states/eV/cell

Which formula does entry 2 have?
CaScCu

Please write out number 2 again, unchanged.
An optimized crystal structure of CaScCu, computed with PBE-GGA.

The structure in extended XYZ format:
```
3
Lattice="-1.980 3.851 -1.409 -2.510 -3.741 0.661 -0.643 1.142 4.023" Properties=species:S:1:pos:R:3 pbc="T T T"
Sc -2.658 -0.634 2.002
Ca -0.002 0.004 0.015
Cu -2.473 1.881 1.258
```

**Calculated formation energy**: 0.137 eV per atom
**Space-group type**: P3m1 (156)
**DFT total energy**: -12.0 eV for the cell shown
**Energy above the lowest structure with this stoichiometry**: 0.1896 eV per atom
**D(E_F)**: 2.77 states/eV/cell

Which of these has the lowest energy above the lowest structure with this stoichiometry?
CaScCu

The lowest energy above the lowest structure with this stoichiometry belongs to which entry?
CaScCu